Record 1
First-principles (PBE-GGA) data for a relaxed structure of In2HgPPt, as listed in Alexandria via LeMat-Bulk.

Lattice parameters (Å, degrees): 5.0937 5.0937 4.9783 90.00 90.00 90.00
Closest atoms and distances in Å follow each position.
Space group P4/mmm (No. 123)
Asymmetric unit:
In 0.0000 0.5000 0.0000  2 P 2.55
Hg 0.0000 0.0000 0.5000  2 P 2.49
P 0.0000 0.0000 0.0000  2 Hg 2.49, 4 In 2.55
Pt 0.5000 0.5000 0.5000  8 In 3.56, 4 Hg 3.60

Summary:
Formation enthalpy at 0 K = 0.576 eV per atom

***

Record 2
First-principles (PBE-GGA) data for a relaxed structure of Rb2InHgP, as listed in Alexandria via LeMat-Bulk.

Lattice parameters (Å, degrees): 6.6870 6.6870 5.1301 90.00 90.00 90.00
Closest atoms and distances in Å follow each position.
Space group P4/mmm (No. 123)
Asymmetric unit:
Rb 0.0000 0.5000 0.0000  2 P 3.34
In 0.0000 0.0000 0.5000  2 P 2.57
Hg 0.5000 0.5000 0.5000  8 Rb 4.21
P 0.0000 0.0000 0.0000  2 In 2.57

Summary:
Formation enthalpy at 0 K = -0.076 eV per atom

***

Record 3
First-principles (PBE-GGA) data for a relaxed structure of InHgP2S, as listed in Alexandria via LeMat-Bulk.

Lattice parameters (Å, degrees): 5.1772 5.1772 5.0008 90.00 90.00 90.00
Closest atoms and distances in Å follow each position.
Space group P4/mmm (No. 123)
Asymmetric unit:
In 0.0000 0.0000 0.0000  2 S 2.50, 4 P 2.59
Hg 0.5000 0.5000 0.5000  8 P 3.60, 4 S 3.66
P 0.0000 0.5000 0.0000  2 In 2.59
S 0.0000 0.0000 0.5000  2 In 2.50

Summary:
ΔE_f (raw) = 475 kJ/mol of formula units
Offset from the most stable computed form = 0 meV/atom

***

Record 4
First-principles (PBE-GGA) data for a relaxed structure of PaIn6Hg, as listed in Alexandria via LeMat-Bulk.

Lattice parameters (Å, degrees): 6.8546 6.8546 4.3466 90.00 90.00 90.00
Closest atoms and distances in Å follow each position.
Space group P4/mmm (No. 123)
Asymmetric unit:
Pa 0.0000 0.0000 0.0000  12 In 3.29-3.43
In 0.0000 0.5000 0.0000  8 In 3.26, 2 Hg 3.43, 2 Pa 3.43
In 0.2549 0.2549 0.5000  2 Hg 3.22, 8 In 3.26-3.49, 2 Pa 3.29
Hg 0.5000 0.5000 0.0000  12 In 3.22-3.43

Summary:
Formation enthalpy at 0 K = 0.031 eV per atom